a) Density functional theory data (GGA-PBE) for SrHPb after structural relaxation.

Geometry as CIF:
```
data_SrHPb
_chemical_formula_sum 'Sr2 H2 Pb2'
_space_group_name_H-M_alt 'P 1'
_space_group_IT_number 1
_space_group_name_Hall 'P 1'
_cell_length_a 4.213
_cell_length_b 4.213
_cell_length_c 8.351
_cell_angle_alpha 90.00
_cell_angle_beta 90.00
_cell_angle_gamma 90.00
loop_
_atom_site_label
_atom_site_fract_x
_atom_site_fract_y
_atom_site_fract_z
Sr1 0.250 0.250 0.154
Sr2 0.750 0.750 0.846
H1 0.250 0.750 0.000
H2 0.750 0.250 0.000
Pb1 0.250 0.250 0.580
Pb2 0.750 0.750 0.420
```

## Properties
DOS(E_F) ... 0.36 states/eV per atom
SG ... P4/nmm
Total magnetization ... 0.00 μB/f.u.
Calculated density ... 6.63 g/cm³
Volume ... 148.2 Å³ per cell

=====

b) Density functional theory data (GGA-PBE) for SrHPb after structural relaxation.

Geometry as CIF:
```
data_SrHPb
_chemical_formula_sum 'Sr8 H8 Pb8'
_space_group_name_H-M_alt 'P 1'
_space_group_IT_number 1
_space_group_name_Hall 'P 1'
_cell_length_a 5.072
_cell_length_b 9.363
_cell_length_c 12.755
_cell_angle_alpha 88.38
_cell_angle_beta 89.49
_cell_angle_gamma 89.98
loop_
_atom_site_label
_atom_site_fract_x
_atom_site_fract_y
_atom_site_fract_z
Sr1 0.000 0.000 0.000
Sr2 0.001 0.808 0.306
Sr3 0.009 0.114 0.519
Sr4 0.015 0.577 0.564
Sr5 0.492 0.616 0.821
Sr6 0.495 0.075 0.781
Sr7 0.506 0.447 0.331
Sr8 0.993 0.542 0.067
H1 0.044 0.564 0.373
H2 0.272 0.853 0.866
H3 0.499 0.558 0.011
H4 0.503 0.064 0.976
H5 0.515 0.537 0.632
H6 0.685 0.639 0.208
H7 0.932 0.844 0.492
H8 0.995 0.138 0.825
Pb1 0.014 0.217 0.215
Pb2 0.500 0.300 0.014
Pb3 0.507 0.799 0.119
Pb4 0.507 0.852 0.533
Pb5 0.509 0.053 0.305
Pb6 0.512 0.331 0.594
Pb7 0.991 0.838 0.747
Pb8 0.999 0.353 0.826
```

## Properties
DOS(E_F) ... 0.25 states/eV per atom
SG ... P1
Total magnetization ... 0.00 μB/f.u.
Calculated density ... 6.49 g/cm³
Volume ... 605.5 Å³ per cell

=====

Which structure is most stable, and how do the rest compare? From most to least stable: a), b).

=====

a) Density functional theory data (GGA-PBE) for SrHPb2 after structural relaxation.

Geometry as CIF:
```
data_SrHPb2
_chemical_formula_sum 'Sr1 H1 Pb2'
_space_group_name_H-M_alt 'P 1'
_space_group_IT_number 1
_space_group_name_Hall 'P 1'
_cell_length_a 5.410
_cell_length_b 5.410
_cell_length_c 5.410
_cell_angle_alpha 60.00
_cell_angle_beta 60.00
_cell_angle_gamma 60.00
loop_
_atom_site_label
_atom_site_fract_x
_atom_site_fract_y
_atom_site_fract_z
Sr1 0.000 0.000 0.000
H1 0.500 0.500 0.500
Pb1 0.250 0.250 0.250
Pb2 0.750 0.750 0.750
```

## Properties
DOS(E_F) ... 0.76 states/eV per atom
SG ... Fm-3m
Total magnetization ... 0.00 μB/f.u.
Calculated density ... 7.46 g/cm³
Volume ... 112.0 Å³ per cell

=====

b) Density functional theory data (GGA-PBE) for SrHPb2 after structural relaxation.

Geometry as CIF:
```
data_SrHPb2
_chemical_formula_sum 'Sr2 H2 Pb4'
_space_group_name_H-M_alt 'P 1'
_space_group_IT_number 1
_space_group_name_Hall 'P 1'
_cell_length_a 6.839
_cell_length_b 6.839
_cell_length_c 6.839
_cell_angle_alpha 117.30
_cell_angle_beta 117.30
_cell_angle_gamma 94.74
loop_
_atom_site_label
_atom_site_fract_x
_atom_site_fract_y
_atom_site_fract_z
Sr1 0.000 0.000 0.000
Sr2 0.750 0.250 0.500
H1 0.250 0.750 0.500
H2 0.500 0.500 0.000
Pb1 0.309 0.625 0.184
Pb2 0.375 0.559 0.684
Pb3 0.441 0.125 0.816
Pb4 0.875 0.691 0.316
```

## Properties
DOS(E_F) ... 0.25 states/eV per atom
SG ... I-42d
Total magnetization ... 0.00 μB/f.u.
Calculated density ... 7.12 g/cm³
Volume ... 234.5 Å³ per cell

=====

Which structure is most stable, and how do the rest compare? From most to least stable: b), a).

=====

a) Density functional theory data (GGA-PBE) for SrHPb3 after structural relaxation.

Geometry as CIF:
```
data_SrHPb3
_chemical_formula_sum 'Sr1 H1 Pb3'
_space_group_name_H-M_alt 'P 1'
_space_group_IT_number 1
_space_group_name_Hall 'P 1'
_cell_length_a 6.268
_cell_length_b 6.268
_cell_length_c 6.268
_cell_angle_alpha 90.00
_cell_angle_beta 90.00
_cell_angle_gamma 90.00
loop_
_atom_site_label
_atom_site_fract_x
_atom_site_fract_y
_atom_site_fract_z
Sr1 0.000 0.000 0.000
H1 0.500 0.500 0.500
Pb1 0.000 0.000 0.500
Pb2 0.000 0.500 0.000
Pb3 0.500 0.000 0.000
```

## Properties
DOS(E_F) ... 0.91 states/eV per atom
SG ... Pm-3m
Total magnetization ... 1.33 μB/f.u.
Calculated density ... 4.79 g/cm³
Volume ... 246.3 Å³ per cell

=====

b) Density functional theory data (GGA-PBE) for SrHPb3 after structural relaxation.

Geometry as CIF:
```
data_SrHPb3
_chemical_formula_sum 'Sr1 H1 Pb3'
_space_group_name_H-M_alt 'P 1'
_space_group_IT_number 1
_space_group_name_Hall 'P 1'
_cell_length_a 5.090
_cell_length_b 5.090
_cell_length_c 5.090
_cell_angle_alpha 90.00
_cell_angle_beta 90.00
_cell_angle_gamma 90.00
loop_
_atom_site_label
_atom_site_fract_x
_atom_site_fract_y
_atom_site_fract_z
Sr1 0.000 0.000 0.000
H1 0.500 0.500 0.500
Pb1 0.000 0.500 0.500
Pb2 0.500 0.000 0.500
Pb3 0.500 0.500 0.000
```

## Properties
DOS(E_F) ... 0.28 states/eV per atom
SG ... Pm-3m
Total magnetization ... 0.00 μB/f.u.
Calculated density ... 8.94 g/cm³
Volume ... 131.9 Å³ per cell

=====

Which structure is most stable, and how do the rest compare? From most to least stable: b), a).

=====

a) Density functional theory data (GGA-PBE) for Sr2TlHPb after structural relaxation.

Geometry as CIF:
```
data_Sr2TlHPb
_chemical_formula_sum 'Sr2 Tl1 H1 Pb1'
_space_group_name_H-M_alt 'P 1'
_space_group_IT_number 1
_space_group_name_Hall 'P 1'
_cell_length_a 5.287
_cell_length_b 5.287
_cell_length_c 4.936
_cell_angle_alpha 90.00
_cell_angle_beta 90.00
_cell_angle_gamma 90.00
loop_
_atom_site_label
_atom_site_fract_x
_atom_site_fract_y
_atom_site_fract_z
Sr1 0.000 0.500 0.000
Sr2 0.500 0.000 0.000
Tl1 0.000 0.000 0.500
H1 0.000 0.000 0.000
Pb1 0.500 0.500 0.500
```

## Properties
DOS(E_F) ... 0.32 states/eV per atom
SG ... P4/mmm
Total magnetization ... 0.00 μB/f.u.
Calculated density ... 7.07 g/cm³
Volume ... 138.0 Å³ per cell

=====

b) Density functional theory data (GGA-PBE) for Sr2TlHPb after structural relaxation.

Geometry as CIF:
```
data_Sr2TlHPb
_chemical_formula_sum 'Sr2 Tl1 H1 Pb1'
_space_group_name_H-M_alt 'P 1'
_space_group_IT_number 1
_space_group_name_Hall 'P 1'
_cell_length_a 5.414
_cell_length_b 5.414
_cell_length_c 4.784
_cell_angle_alpha 90.00
_cell_angle_beta 90.00
_cell_angle_gamma 90.00
loop_
_atom_site_label
_atom_site_fract_x
_atom_site_fract_y
_atom_site_fract_z
Sr1 0.000 0.500 0.000
Sr2 0.500 0.000 0.000
Tl1 0.000 0.000 0.500
H1 0.500 0.500 0.000
Pb1 0.500 0.500 0.500
```

## Properties
DOS(E_F) ... 0.35 states/eV per atom
SG ... P4/mmm
Total magnetization ... 0.00 μB/f.u.
Calculated density ... 6.96 g/cm³
Volume ... 140.2 Å³ per cell

=====

Which structure is most stable, and how do the rest compare? From most to least stable: a), b).